Material: Y2TeC
Method: DFT, PBE-GGA
State: optimized geometry

a = 7.042 Å, b = 7.042 Å, c = 8.114 Å
α = 90.00°, β = 90.00°, γ = 90.00°
Space group I-42d (No. 122)
One atom of each set of equivalent atoms:
Y  0.161  0.750  0.125
Te  0.000  0.000  0.500
C  0.000  0.000  0.000

Calculated values
The calculation puts the volume at 25.15 Å³/atom. For the total magnetization, the calculation gives 0.00 μB/atom. The calculation puts the uncorrected formation energy at -0.688 eV/atom. The value obtained for the uncorrected energy is -7.01 eV/atom.

Material: Y2TeC
Method: DFT, PBE-GGA
State: optimized geometry

a = 3.8424 Å, b = 3.8424 Å, c = 21.0816 Å
α = 90.00°, β = 90.00°, γ = 120.00°
Space group R-3m (No. 166, hexagonal axes)
One atom of each set of equivalent atoms:
Y  0.0000  0.0000  0.2291
Te  0.0000  0.0000  0.0000
C  0.0000  0.0000  0.5000

Calculated values
The calculation puts the volume at 22.46 Å³/atom. For the total magnetization, the calculation gives 0.00 μB/atom. The calculation puts the uncorrected formation energy at -0.877 eV/atom. The value obtained for the uncorrected energy is -7.20 eV/atom.

Material: Y2TeC2
Method: DFT, PBE-GGA
State: optimized geometry

a = 6.968 Å, b = 6.968 Å, c = 3.552 Å
α = 90.00°, β = 90.00°, γ = 90.00°
Space group P4/mbm (No. 127)
One atom of each set of equivalent atoms:
Y  0.156  0.344  0.000
Te  0.000  0.000  0.500
C  0.168  0.668  0.500

Calculated values
The calculation puts the volume at 17.24 Å³/atom. For the total magnetization, the calculation gives 0.00 μB/atom. The calculation puts the uncorrected formation energy at 0.199 eV/atom. The value obtained for the uncorrected energy is -6.70 eV/atom. Its polymorph energy (0 for the lowest one) is 930 meV per atom.

Material: Y4TeC2
Method: DFT, PBE-GGA
State: optimized geometry

a = 3.819 Å, b = 12.399 Å, c = 12.849 Å
α = 90.00°, β = 90.00°, γ = 90.00°
Space group Cmcm (No. 63)
One atom of each set of equivalent atoms:
Y  0.000  0.000  0.000
Y  0.000  0.258  0.102
Y  0.000  0.417  0.750
Te  0.000  0.109  0.750
C  0.000  0.364  0.560

Calculated values
The calculation puts the volume at 21.73 Å³/atom. For the total magnetization, the calculation gives 0.08 μB/atom. The calculation puts the uncorrected formation energy at -0.617 eV/atom. The value obtained for the uncorrected energy is -7.40 eV/atom. Its polymorph energy (0 for the lowest one) is 0 meV per atom.

Material: YTe2C
Method: DFT, PBE-GGA
State: optimized geometry

a = 7.753 Å, b = 7.753 Å, c = 6.151 Å
α = 90.00°, β = 90.00°, γ = 90.00°
Space group I-42d (No. 122)
One atom of each set of equivalent atoms:
Y  0.000  0.000  0.000
Te  0.157  0.250  0.625
C  0.000  0.000  0.500

Calculated values
The calculation puts the volume at 23.11 Å³/atom. For the total magnetization, the calculation gives 0.00 μB/atom. The calculation puts the uncorrected formation energy at 0.478 eV/atom. The value obtained for the uncorrected energy is -5.01 eV/atom.

Material: YTeC3
Method: DFT, PBE-GGA
State: optimized geometry

a = 4.547 Å, b = 4.547 Å, c = 4.547 Å
α = 90.00°, β = 90.00°, γ = 90.00°
Space group Pm-3m (No. 221)
One atom of each set of equivalent atoms:
Y  0.000  0.000  0.000
Te  0.500  0.500  0.500
C  0.000  0.000  0.500

Calculated values
The calculation puts the volume at 18.80 Å³/atom. For the total magnetization, the calculation gives 0.00 μB/atom. The calculation puts the uncorrected formation energy at 2.648 eV/atom. The value obtained for the uncorrected energy is -4.81 eV/atom. Its polymorph energy (0 for the lowest one) is 761 meV per atom.

Material: ZnTe2C
Method: DFT, PBE-GGA
State: optimized geometry

a = 4.3947 Å, b = 4.3947 Å, c = 20.7817 Å
α = 90.00°, β = 90.00°, γ = 120.00°
Space group R-3m (No. 166, hexagonal axes)
One atom of each set of equivalent atoms:
Zn  0.0000  0.0000  0.0000
Te  0.0000  0.0000  0.4060
C  0.0000  0.0000  0.5000

Calculated values
The calculation puts the volume at 28.97 Å³/atom. For the total magnetization, the calculation gives 0.00 μB/atom. The calculation puts the uncorrected formation energy at 0.929 eV/atom. The value obtained for the uncorrected energy is -3.27 eV/atom. Its polymorph energy (0 for the lowest one) is 106 meV per atom.

Material: Zn3TeC
Method: DFT, PBE-GGA
State: optimized geometry

a = 4.346 Å, b = 4.346 Å, c = 4.346 Å
α = 90.00°, β = 90.00°, γ = 90.00°
Space group Pm-3m (No. 221)
One atom of each set of equivalent atoms:
Zn  0.000  0.000  0.500
Te  0.500  0.500  0.500
C  0.000  0.000  0.000

Calculated values
The calculation puts the volume at 16.42 Å³/atom. For the total magnetization, the calculation gives 0.00 μB/atom. The calculation puts the uncorrected formation energy at 0.424 eV/atom. The value obtained for the uncorrected energy is -2.81 eV/atom. Its polymorph energy (0 for the lowest one) is 0 meV per atom.

Material: Zn2Te2C
Method: DFT, PBE-GGA
State: optimized geometry

a = 4.124 Å, b = 4.124 Å, c = 14.362 Å
α = 90.00°, β = 90.00°, γ = 90.00°
Space group I4/mmm (No. 139)
One atom of each set of equivalent atoms:
Zn  0.000  0.500  0.250
Te  0.000  0.000  0.126
C  0.000  0.000  0.500

Calculated values
The calculation puts the volume at 24.42 Å³/atom. For the total magnetization, the calculation gives 0.40 μB/atom. The calculation puts the uncorrected formation energy at 1.165 eV/atom. The value obtained for the uncorrected energy is -2.45 eV/atom. Its polymorph energy (0 for the lowest one) is 194 meV per atom.

Material: Zn2TeC
Method: DFT, PBE-GGA
State: optimized geometry

a = 6.490 Å, b = 6.490 Å, c = 6.490 Å
α = 90.00°, β = 90.00°, γ = 90.00°
Space group Fm-3m (No. 225)
One atom of each set of equivalent atoms:
Zn  0.250  0.250  0.250
Te  0.000  0.000  0.000
C  0.000  0.000  0.500

Calculated values
The calculation puts the volume at 17.09 Å³/atom. For the total magnetization, the calculation gives 0.00 μB/atom. The calculation puts the uncorrected formation energy at 1.445 eV/atom. The value obtained for the uncorrected energy is -2.28 eV/atom. Its polymorph energy (0 for the lowest one) is 792 meV per atom.

Material: ZnTe2C
Method: DFT, PBE-GGA
State: optimized geometry

a = 5.630 Å, b = 5.630 Å, c = 12.484 Å
α = 90.00°, β = 90.00°, γ = 90.00°
Space group I-42d (No. 122)
One atom of each set of equivalent atoms:
Zn  0.000  0.000  0.000
Te  0.200  0.250  0.625
C  0.000  0.000  0.500

Calculated values
The calculation puts the volume at 24.73 Å³/atom. For the total magnetization, the calculation gives 0.00 μB/atom. The calculation puts the uncorrected formation energy at 0.823 eV/atom. The value obtained for the uncorrected energy is -3.37 eV/atom. Its polymorph energy (0 for the lowest one) is 0 meV per atom.

Material: ZnTe2C
Method: DFT, PBE-GGA
State: optimized geometry

a = 3.3203 Å, b = 3.3203 Å, c = 27.9486 Å
α = 90.00°, β = 90.00°, γ = 120.00°
Space group R-3m (No. 166, hexagonal axes)
One atom of each set of equivalent atoms:
Zn  0.0000  0.0000  0.0000
Te  0.0000  0.0000  0.1112
C  0.0000  0.0000  0.5000

Calculated values
The calculation puts the volume at 22.24 Å³/atom. For the total magnetization, the calculation gives 0.00 μB/atom. The calculation puts the uncorrected formation energy at 1.109 eV/atom. The value obtained for the uncorrected energy is -3.09 eV/atom. Its polymorph energy (0 for the lowest one) is 286 meV per atom.

- Among the records above, which one has the highest volume?
  number 7

Repeat the fourth record exactly.
Material: Y4TeC2
Method: DFT, PBE-GGA
State: optimized geometry

a = 3.819 Å, b = 12.399 Å, c = 12.849 Å
α = 90.00°, β = 90.00°, γ = 90.00°
Space group Cmcm (No. 63)
One atom of each set of equivalent atoms:
Y  0.000  0.000  0.000
Y  0.000  0.258  0.102
Y  0.000  0.417  0.750
Te  0.000  0.109  0.750
C  0.000  0.364  0.560

Calculated values
The calculation puts the volume at 21.73 Å³/atom. For the total magnetization, the calculation gives 0.08 μB/atom. The calculation puts the uncorrected formation energy at -0.617 eV/atom. The value obtained for the uncorrected energy is -7.40 eV/atom. Its polymorph energy (0 for the lowest one) is 0 meV per atom.

- uncorrected energy of number 9 (Zn2Te2C)?
  -2.45 eV/atom

- Which formula does entry 8 have?
  Zn3TeC